one:
VASP calculation (PBE) on a relaxed Tb6Pr8Y crystal.

Calculated values
DOS(E_F)	1.43	states/eV per atom
volume	34.727	Å³/atom

```
data_Tb6Pr8Y
_cell_length_a 9.3948
_cell_length_b 9.3948
_cell_length_c 20.4443
_cell_angle_alpha 90.00
_cell_angle_beta 90.00
_cell_angle_gamma 120.00
_symmetry_space_group_name_H-M 'R -3'
_symmetry_Int_Tables_number 148
_symmetry_space_group_name_Hall '-R 3'
loop_
_atom_site_label
_atom_site_type_symbol
_atom_site_fract_x
_atom_site_fract_y
_atom_site_fract_z
Tb1 Tb 0.0480 0.8010 0.1930
Pr1 Pr 0.0000 0.0000 0.0740
Pr2 Pr 0.0701 0.8254 0.6585
Y1 Y 0.0000 0.0000 0.5000
```

---

two:
VASP calculation (PBE) on a relaxed Tb6Pr8Y crystal.

Calculated values
DOS(E_F)	1.54	states/eV per atom
volume	34.810	Å³/atom

```
data_Tb6Pr8Y
_cell_length_a 9.5147
_cell_length_b 9.5147
_cell_length_c 6.6599
_cell_angle_alpha 90.00
_cell_angle_beta 90.00
_cell_angle_gamma 120.00
_symmetry_space_group_name_H-M 'P -3'
_symmetry_Int_Tables_number 147
loop_
_symmetry_equiv_pos_as_xyz
'x,y,z'
'-x,-y,-z'
'-y,x-y,z'
'y,-x+y,-z'
'-x+y,-x,z'
'x-y,x,-z'
loop_
_atom_site_label
_atom_site_type_symbol
_atom_site_fract_x
_atom_site_fract_y
_atom_site_fract_z
Tb1 Tb 0.0925 0.4348 0.3449
Pr1 Pr 0.0350 0.2882 0.8350
Pr2 Pr 0.3333 0.6667 0.8818
Y1 Y 0.0000 0.0000 0.5000
```

---

Least stable structure: two

---

one:
VASP calculation (PBE) on a relaxed Tb2Pr3Y3 crystal.

Calculated values
DOS(E_F)	1.68	states/eV per atom
volume	34.038	Å³/atom

```
data_Tb2Pr3Y3
_cell_length_a 16.486
_cell_length_b 5.782
_cell_length_c 6.079
_cell_angle_alpha 90.00
_cell_angle_beta 109.96
_cell_angle_gamma 90.00
_symmetry_space_group_name_H-M 'C 1 2/m 1'
_symmetry_Int_Tables_number 12
loop_
_symmetry_equiv_pos_as_xyz
'x,y,z'
'-x,-y,-z'
'-x,y,-z'
'x,-y,z'
'x+1/2,y+1/2,z'
'-x+1/2,-y+1/2,-z'
'-x+1/2,y+1/2,-z'
'x+1/2,-y+1/2,z'
loop_
_atom_site_label
_atom_site_type_symbol
_atom_site_fract_x
_atom_site_fract_y
_atom_site_fract_z
Tb1 Tb 0.249 0.000 0.318
Pr1 Pr 0.000 0.000 0.000
Pr2 Pr 0.136 0.000 0.697
Y1 Y 0.000 0.500 0.500
Y2 Y 0.133 0.500 0.083
```

---

two:
VASP calculation (PBE) on a relaxed Tb2Pr3Y3 crystal.

Calculated values
DOS(E_F)	1.59	states/eV per atom
volume	33.643	Å³/atom

```
data_Tb2Pr3Y3
_cell_length_a 5.118
_cell_length_b 5.133
_cell_length_c 20.490
_cell_angle_alpha 90.00
_cell_angle_beta 90.00
_cell_angle_gamma 90.00
_symmetry_space_group_name_H-M 'I m m m'
_symmetry_Int_Tables_number 71
_symmetry_space_group_name_Hall '-I 2 2'
loop_
_atom_site_label
_atom_site_type_symbol
_atom_site_fract_x
_atom_site_fract_y
_atom_site_fract_z
Tb1 Tb 0.000 0.000 0.249
Pr1 Pr 0.000 0.000 0.000
Pr2 Pr 0.000 0.500 0.126
Y1 Y 0.000 0.000 0.500
Y2 Y 0.000 0.500 0.373
```

---

Least stable structure: one

---

one:
VASP calculation (PBE) on a relaxed Tb12Pr2Y5 crystal.

Calculated values
DOS(E_F)	1.49	states/eV per atom
volume	33.278	Å³/atom

```
data_Tb12Pr2Y5
_cell_length_a 15.947
_cell_length_b 9.224
_cell_length_c 8.598
_cell_angle_alpha 90.00
_cell_angle_beta 91.15
_cell_angle_gamma 90.00
_symmetry_space_group_name_H-M 'C 1 2/m 1'
_symmetry_Int_Tables_number 12
loop_
_symmetry_equiv_pos_as_xyz
'x,y,z'
'-x,-y,-z'
'-x,y,-z'
'x,-y,z'
'x+1/2,y+1/2,z'
'-x+1/2,-y+1/2,-z'
'-x+1/2,y+1/2,-z'
'x+1/2,-y+1/2,z'
loop_
_atom_site_label
_atom_site_type_symbol
_atom_site_fract_x
_atom_site_fract_y
_atom_site_fract_z
Tb1 Tb 0.058 0.000 0.332
Tb2 Tb 0.093 0.500 0.884
Tb3 Tb 0.126 0.192 0.655
Tb4 Tb 0.156 0.319 0.245
Pr1 Pr 0.000 0.184 0.000
Y1 Y 0.000 0.500 0.500
Y2 Y 0.198 0.000 0.010
Y3 Y 0.233 0.500 0.575
```

---

two:
VASP calculation (PBE) on a relaxed Tb12Pr2Y5 crystal.

Calculated values
DOS(E_F)	1.35	states/eV per atom
volume	32.440	Å³/atom

```
data_Tb12Pr2Y5
_cell_length_a 8.005
_cell_length_b 8.009
_cell_length_c 10.734
_cell_angle_alpha 94.21
_cell_angle_beta 107.36
_cell_angle_gamma 107.50
_symmetry_space_group_name_H-M 'P -1'
_symmetry_Int_Tables_number 2
loop_
_symmetry_equiv_pos_as_xyz
'x,y,z'
'-x,-y,-z'
loop_
_atom_site_label
_atom_site_type_symbol
_atom_site_fract_x
_atom_site_fract_y
_atom_site_fract_z
Tb1 Tb 0.051 0.131 0.157
Tb2 Tb 0.103 0.763 0.314
Tb3 Tb 0.209 0.025 0.633
Tb4 Tb 0.263 0.658 0.791
Tb5 Tb 0.368 0.921 0.105
Tb6 Tb 0.421 0.554 0.262
Pr1 Pr 0.473 0.184 0.419
Y1 Y 0.000 0.500 0.000
Y2 Y 0.156 0.394 0.474
Y3 Y 0.316 0.289 0.948
```

---

Least stable structure: one

---

one:
VASP calculation (PBE) on a relaxed TbPr2Y7 crystal.

Calculated values
DOS(E_F)	1.49	states/eV per atom
volume	32.921	Å³/atom

```
data_TbPr2Y7
_cell_length_a 6.226
_cell_length_b 6.235
_cell_length_c 9.519
_cell_angle_alpha 102.65
_cell_angle_beta 109.01
_cell_angle_gamma 99.65
_symmetry_space_group_name_H-M 'P -1'
_symmetry_Int_Tables_number 2
loop_
_symmetry_equiv_pos_as_xyz
'x,y,z'
'-x,-y,-z'
loop_
_atom_site_label
_atom_site_type_symbol
_atom_site_fract_x
_atom_site_fract_y
_atom_site_fract_z
Tb1 Tb 0.000 0.000 0.000
Pr1 Pr 0.398 0.199 0.398
Y1 Y 0.000 0.500 0.500
Y2 Y 0.198 0.599 0.197
Y3 Y 0.200 0.101 0.702
Y4 Y 0.400 0.701 0.901
```

---

two:
VASP calculation (PBE) on a relaxed TbPr2Y7 crystal.

Calculated values
DOS(E_F)	1.68	states/eV per atom
volume	33.858	Å³/atom

```
data_TbPr2Y7
_cell_length_a 6.570
_cell_length_b 29.152
_cell_length_c 3.535
_cell_angle_alpha 90.00
_cell_angle_beta 90.00
_cell_angle_gamma 90.00
_symmetry_space_group_name_H-M 'C m m m'
_symmetry_Int_Tables_number 65
_symmetry_space_group_name_Hall '-C 2 2'
loop_
_atom_site_label
_atom_site_type_symbol
_atom_site_fract_x
_atom_site_fract_y
_atom_site_fract_z
Tb1 Tb 0.000 0.000 0.000
Pr1 Pr 0.000 0.293 0.500
Y1 Y 0.000 0.185 0.000
Y2 Y 0.000 0.500 0.500
Y3 Y 0.246 0.098 0.500
```

---

Least stable structure: two